i:
Entry from the Alexandria database: crystalline Y2SnPb at its relaxed geometry (PBE-GGA).

DOS at the Fermi energy = 1.010 states/eV/atom
crystal system = tetragonal
M_tot = 0.00 μB/f.u.

abc: 8.3132 8.3132 6.8357
angles: 52.55 52.55 90.00
Atoms (fractional coordinates):
Y 0.1288 0.6250 0.2500
Y 0.3750 0.3788 0.7500
Y 0.6212 0.1250 0.2500
Y 0.8750 0.8712 0.7500
Pb 0.0000 0.0000 0.0000
Pb 0.7500 0.2500 0.5000
Sn 0.2500 0.7500 0.5000
Sn 0.5000 0.5000 0.0000

***

ii:
Entry from the Alexandria database: crystalline Y2SnPb at its relaxed geometry (PBE-GGA).

DOS at the Fermi energy = 0.854 states/eV/atom
crystal system = trigonal
M_tot = 0.00 μB/f.u.

abc: 3.9971 3.9971 8.9669
angles: 77.12 77.12 60.00
Atoms (fractional coordinates):
Y 0.2527 0.2527 0.2418
Y 0.7473 0.7473 0.7582
Pb 0.5000 0.5000 0.5000
Sn 0.0000 0.0000 0.0000

***

Stability check: which of them is most stable? ii.

***

i:
Entry from the Alexandria database: crystalline Y2SnPb at its relaxed geometry (PBE-GGA).

DOS at the Fermi energy = 0.921 states/eV/atom
crystal system = tetragonal
M_tot = 0.00 μB/f.u.

abc: 3.5173 3.5173 8.8836
angles: 90.00 90.00 90.00
Atoms (fractional coordinates):
Sn 0.5000 0.5000 0.0000
Y 0.0000 0.0000 0.2422
Y 0.0000 0.0000 0.7578
Pb 0.5000 0.5000 0.5000

***

ii:
Entry from the Alexandria database: crystalline Y2SnPb at its relaxed geometry (PBE-GGA).

DOS at the Fermi energy = 0.638 states/eV/atom
crystal system = monoclinic
M_tot = 0.00 μB/f.u.

abc: 4.3842 6.2080 9.0041
angles: 111.32 90.00 90.00
Atoms (fractional coordinates):
Y 0.2500 0.7686 0.5630
Y 0.7500 0.2314 0.4370
Y 0.7500 0.2403 0.9309
Y 0.2500 0.7597 0.0691
Sn 0.7500 0.6901 0.2981
Sn 0.2500 0.3099 0.7019
Pb 0.2500 0.3008 0.2007
Pb 0.7500 0.6992 0.7993

***

iii:
Entry from the Alexandria database: crystalline Y2SnPb at its relaxed geometry (PBE-GGA).

DOS at the Fermi energy = 1.155 states/eV/atom
crystal system = tetragonal
M_tot = 0.13 μB/f.u.

abc: 4.3912 5.0158 5.0158
angles: 90.00 90.00 90.00
Atoms (fractional coordinates):
Sn 0.5000 0.0000 0.0000
Y 0.0000 0.5000 0.0000
Y 0.0000 0.0000 0.5000
Pb 0.5000 0.5000 0.5000

***

iv:
Entry from the Alexandria database: crystalline Y2SnPb at its relaxed geometry (PBE-GGA).

DOS at the Fermi energy = 1.722 states/eV/atom
crystal system = cubic
M_tot = 0.00 μB/f.u.

abc: 5.4163 5.4163 5.4163
angles: 60.00 60.00 60.00
Atoms (fractional coordinates):
Y 0.7500 0.7500 0.7500
Y 0.2500 0.2500 0.2500
Sn 0.0000 0.0000 0.0000
Pb 0.5000 0.5000 0.5000

***

Stability check: which of them is most stable? ii.

***

i:
Entry from the Alexandria database: crystalline YSnPb at its relaxed geometry (PBE-GGA).

DOS at the Fermi energy = 0.631 states/eV/atom
crystal system = orthorhombic
M_tot = 0.00 μB/f.u.

abc: 4.4178 4.5890 8.5171
angles: 105.63 90.00 90.00
Atoms (fractional coordinates):
Y 0.2500 0.0934 0.1869
Y 0.7500 0.9066 0.8131
Pb 0.7500 0.2523 0.5047
Pb 0.2500 0.7477 0.4953
Sn 0.7500 0.5646 0.1293
Sn 0.2500 0.4354 0.8707

***

ii:
Entry from the Alexandria database: crystalline YSnPb at its relaxed geometry (PBE-GGA).

DOS at the Fermi energy = 0.740 states/eV/atom
crystal system = trigonal
M_tot = 0.00 μB/f.u.

abc: 3.3868 5.4085 5.4085
angles: 120.00 90.00 90.00
Atoms (fractional coordinates):
Pb 0.1685 0.3333 0.6667
Y 0.6672 0.6667 0.3333
Sn 0.1643 0.0000 0.0000

***

Stability check: which of them is most stable? i.

***

i:
Entry from the Alexandria database: crystalline YSnPb at its relaxed geometry (PBE-GGA).

DOS at the Fermi energy = 0.845 states/eV/atom
crystal system = tetragonal
M_tot = 0.45 μB/f.u.

abc: 3.3712 3.3712 8.6970
angles: 101.18 101.18 90.00
Each line ends with the local moment (μB).
Atoms (fractional coordinates):
Y 0.7667 0.7667 0.5334  0.26
Sn 0.9519 0.9519 0.9039  0.00
Pb 0.1313 0.1313 0.2627  -0.01

***

ii:
Entry from the Alexandria database: crystalline YSnPb at its relaxed geometry (PBE-GGA).

DOS at the Fermi energy = 0.770 states/eV/atom
crystal system = orthorhombic
M_tot = 0.00 μB/f.u.

abc: 4.6973 4.2028 17.2296
angles: 90.00 90.00 90.00
Atoms (fractional coordinates):
Pb 0.2486 0.7500 0.6660
Pb 0.7486 0.2500 0.8340
Pb 0.7514 0.2500 0.3340
Pb 0.2514 0.7500 0.1660
Y 0.7486 0.2500 0.6486
Y 0.7514 0.2500 0.1486
Y 0.2486 0.7500 0.8514
Y 0.2514 0.7500 0.3514
Sn 0.2497 0.2500 0.5023
Sn 0.7503 0.7500 0.4977
Sn 0.2503 0.2500 0.0023
Sn 0.7497 0.7500 0.9977

***

Stability check: which of them is most stable? ii.

***

i:
Entry from the Alexandria database: crystalline YSn2Pb2 at its relaxed geometry (PBE-GGA).

DOS at the Fermi energy = 0.576 states/eV/atom
crystal system = tetragonal
M_tot = 0.00 μB/f.u.

abc: 4.2953 4.2953 8.9428
angles: 76.10 76.10 90.00
Atoms (fractional coordinates):
Pb 0.4077 0.4077 0.1845
Pb 0.5923 0.5923 0.8155
Sn 0.2500 0.7500 0.5000
Sn 0.7500 0.2500 0.5000
Y 0.0000 0.0000 0.0000

***

ii:
Entry from the Alexandria database: crystalline YSn2Pb2 at its relaxed geometry (PBE-GGA).

DOS at the Fermi energy = 0.583 states/eV/atom
crystal system = tetragonal
M_tot = 0.00 μB/f.u.

abc: 4.4559 4.4559 8.4878
angles: 74.78 74.78 90.00
Atoms (fractional coordinates):
Y 0.0000 0.0000 0.0000
Pb 0.2500 0.7500 0.5000
Pb 0.7500 0.2500 0.5000
Sn 0.5900 0.5900 0.8200
Sn 0.4100 0.4100 0.1800

***

Stability check: which of them is most stable? ii.

***

i:
Entry from the Alexandria database: crystalline YSn2Pb2 at its relaxed geometry (PBE-GGA).

DOS at the Fermi energy = 0.398 states/eV/atom
crystal system = orthorhombic
M_tot = 0.00 μB/f.u.

abc: 4.5751 4.5640 13.8756
angles: 90.00 99.49 90.00
Atoms (fractional coordinates):
Y 0.3389 0.2500 0.6779
Y 0.6610 0.7500 0.3221
Sn 0.2503 0.7500 0.5006
Sn 0.1468 0.2500 0.2936
Sn 0.7497 0.2500 0.4994
Sn 0.8532 0.7500 0.7064
Pb 0.5578 0.2500 0.1157
Pb 0.9426 0.2500 0.8851
Pb 0.4422 0.7500 0.8843
Pb 0.0574 0.7500 0.1149

***

ii:
Entry from the Alexandria database: crystalline YSn2Pb2 at its relaxed geometry (PBE-GGA).

DOS at the Fermi energy = 0.642 states/eV/atom
crystal system = tetragonal
M_tot = 0.00 μB/f.u.

abc: 8.0754 8.0754 4.6096
angles: 90.00 90.00 90.00
Atoms (fractional coordinates):
Sn 0.1292 0.3708 0.0000
Sn 0.8708 0.6292 0.0000
Sn 0.6292 0.1292 0.0000
Sn 0.3708 0.8708 0.0000
Pb 0.1730 0.6730 0.5000
Pb 0.3270 0.1730 0.5000
Pb 0.8270 0.3270 0.5000
Pb 0.6730 0.8270 0.5000
Y 0.0000 0.0000 0.0000
Y 0.5000 0.5000 0.0000

***

Stability check: which of them is most stable? i.

***

i:
Entry from the Alexandria database: crystalline ZnSnPb2 at its relaxed geometry (PBE-GGA).

DOS at the Fermi energy = 0.433 states/eV/atom
crystal system = cubic
M_tot = 0.00 μB/f.u.

abc: 5.3714 5.3714 5.3714
angles: 60.00 60.00 60.00
Atoms (fractional coordinates):
Pb 0.2500 0.2500 0.2500
Pb 0.7500 0.7500 0.7500
Sn 0.5000 0.5000 0.5000
Zn 0.0000 0.0000 0.0000

***

ii:
Entry from the Alexandria database: crystalline ZnSnPb2 at its relaxed geometry (PBE-GGA).

DOS at the Fermi energy = 0.525 states/eV/atom
crystal system = tetragonal
M_tot = 0.00 μB/f.u.

abc: 4.5572 4.5572 11.5173
angles: 78.59 78.59 90.00
Atoms (fractional coordinates):
Pb 0.8750 0.8682 0.7500
Pb 0.1318 0.6250 0.2500
Pb 0.3750 0.3818 0.7500
Pb 0.6182 0.1250 0.2500
Sn 0.0000 0.0000 0.0000
Sn 0.7500 0.2500 0.5000
Zn 0.5000 0.5000 0.0000
Zn 0.2500 0.7500 0.5000

***

Stability check: which of them is most stable? i.

***

i:
Entry from the Alexandria database: crystalline ZnSnPb2 at its relaxed geometry (PBE-GGA).

DOS at the Fermi energy = 0.502 states/eV/atom
crystal system = tetragonal
M_tot = 0.00 μB/f.u.

abc: 3.5161 3.5161 8.7374
angles: 90.00 90.00 90.00
Atoms (fractional coordinates):
Zn 0.5000 0.5000 0.0000
Pb 0.0000 0.0000 0.7796
Pb 0.0000 0.0000 0.2204
Sn 0.5000 0.5000 0.5000

***

ii:
Entry from the Alexandria database: crystalline ZnSnPb2 at its relaxed geometry (PBE-GGA).

DOS at the Fermi energy = 0.309 states/eV/atom
crystal system = tetragonal
M_tot = 0.00 μB/f.u.

abc: 4.7399 4.8051 4.8051
angles: 90.00 90.00 90.00
Atoms (fractional coordinates):
Pb 0.0000 0.0000 0.5000
Pb 0.0000 0.5000 0.0000
Sn 0.5000 0.5000 0.5000
Zn 0.5000 0.0000 0.0000

***

Stability check: which of them is most stable? i.

***

i:
Entry from the Alexandria database: crystalline ZnSn2Pb2 at its relaxed geometry (PBE-GGA).

DOS at the Fermi energy = 0.501 states/eV/atom
crystal system = tetragonal
M_tot = 0.00 μB/f.u.

abc: 7.1920 7.1920 5.5035
angles: 90.00 90.00 90.00
Atoms (fractional coordinates):
Pb 0.1815 0.6815 0.5000
Pb 0.6815 0.8185 0.5000
Pb 0.3185 0.1815 0.5000
Pb 0.8185 0.3185 0.5000
Zn 0.0000 0.0000 0.0000
Zn 0.5000 0.5000 0.0000
Sn 0.8542 0.6458 0.0000
Sn 0.1458 0.3542 0.0000
Sn 0.3542 0.8542 0.0000
Sn 0.6458 0.1458 0.0000

***

ii:
Entry from the Alexandria database: crystalline ZnSn2Pb2 at its relaxed geometry (PBE-GGA).

DOS at the Fermi energy = 0.435 states/eV/atom
crystal system = tetragonal
M_tot = 0.00 μB/f.u.

abc: 9.1832 9.1832 3.6016
angles: 90.00 90.00 90.00
Atoms (fractional coordinates):
Zn 0.0000 0.0000 0.0000
Zn 0.5000 0.5000 0.0000
Sn 0.3594 0.1406 0.5000
Sn 0.1406 0.6406 0.5000
Sn 0.6406 0.8594 0.5000
Sn 0.8594 0.3594 0.5000
Pb 0.8441 0.6559 0.0000
Pb 0.3441 0.8441 0.0000
Pb 0.6559 0.1559 0.0000
Pb 0.1559 0.3441 0.0000

***

iii:
Entry from the Alexandria database: crystalline ZnSn2Pb2 at its relaxed geometry (PBE-GGA).

DOS at the Fermi energy = 0.624 states/eV/atom
crystal system = tetragonal
M_tot = 0.00 μB/f.u.

abc: 4.3484 4.3484 8.7336
angles: 75.58 75.58 90.00
Atoms (fractional coordinates):
Sn 0.2500 0.7500 0.5000
Sn 0.7500 0.2500 0.5000
Zn 0.0000 0.0000 0.0000
Pb 0.6005 0.6005 0.7991
Pb 0.3995 0.3995 0.2009

***

Stability check: which of them is most stable? i.

***

i:
Entry from the Alexandria database: crystalline Zr3SnPb at its relaxed geometry (PBE-GGA).

DOS at the Fermi energy = 1.008 states/eV/atom
crystal system = monoclinic
M_tot = 0.00 μB/f.u.

abc: 3.7235 7.7542 8.5175
angles: 78.30 90.00 90.00
Atoms (fractional coordinates):
Pb 0.2500 0.9657 0.1948
Pb 0.7500 0.0343 0.8052
Zr 0.7500 0.6600 0.3719
Zr 0.7500 0.1411 0.4134
Zr 0.2500 0.6936 0.9727
Zr 0.2500 0.8589 0.5866
Zr 0.7500 0.3064 0.0273
Zr 0.2500 0.3400 0.6281
Sn 0.2500 0.4173 0.2636
Sn 0.7500 0.5827 0.7364

***

ii:
Entry from the Alexandria database: crystalline Zr3SnPb at its relaxed geometry (PBE-GGA).

DOS at the Fermi energy = 0.973 states/eV/atom
crystal system = cubic
M_tot = 0.00 μB/f.u.

abc: 5.3523 5.3523 5.3523
angles: 90.00 90.00 90.00
Atoms (fractional coordinates):
Sn 0.5000 0.5000 0.5000
Pb 0.0000 0.0000 0.0000
Zr 0.5000 0.0000 0.0000
Zr 0.0000 0.0000 0.5000
Zr 0.0000 0.5000 0.0000

***

iii:
Entry from the Alexandria database: crystalline Zr3SnPb at its relaxed geometry (PBE-GGA).

DOS at the Fermi energy = 1.282 states/eV/atom
crystal system = cubic
M_tot = 0.00 μB/f.u.

abc: 5.3075 5.3075 5.3075
angles: 90.00 90.00 90.00
Atoms (fractional coordinates):
Zr 0.0000 0.5000 0.0000
Zr 0.0000 0.0000 0.5000
Zr 0.5000 0.0000 0.0000
Pb 0.5000 0.5000 0.5000
Sn 0.0000 0.0000 0.0000

***

Stability check: which of them is most stable? i.

***

i:
Entry from the Alexandria database: crystalline ZrSnPb2 at its relaxed geometry (PBE-GGA).

DOS at the Fermi energy = 0.919 states/eV/atom
crystal system = cubic
M_tot = 0.00 μB/f.u.

abc: 5.3725 5.3725 5.3725
angles: 60.00 60.00 60.00
Atoms (fractional coordinates):
Zr 0.0000 0.0000 0.0000
Pb 0.7500 0.7500 0.7500
Pb 0.2500 0.2500 0.2500
Sn 0.5000 0.5000 0.5000

***

ii:
Entry from the Alexandria database: crystalline ZrSnPb2 at its relaxed geometry (PBE-GGA).

DOS at the Fermi energy = 1.251 states/eV/atom
crystal system = trigonal
M_tot = 0.00 μB/f.u.

abc: 3.3497 3.3497 11.9899
angles: 81.97 81.97 60.00
Atoms (fractional coordinates):
Zr 0.0000 0.0000 0.0000
Pb 0.9149 0.9149 0.2553
Pb 0.0851 0.0851 0.7447
Sn 0.5000 0.5000 0.5000

***

Stability check: which of them is most stable? i.